# 1
A PBEsol-optimized structure of La3MgFe. Source: the Alexandria database, functional meta-GGA SCAN.

```
La3MgFe
1.0
-4.854 2.005 0.043
-0.750 -1.710 -4.908
-1.860 -4.543 1.867
La Fe Mg
3 1 1
direct
0.000 0.000 0.500
0.000 0.500 0.000
0.500 0.000 0.000
0.000 0.000 0.000
0.500 0.500 0.500
```

Values from the calculation:
The calculation puts the total DFT energy (no corrections) at -152.2 eV for the cell shown. As for the crystal system: cubic. The calculation puts the volume at 28.97 Å³/atom. As for the formation energy from the elements: 0.040 eV per atom. The density of states at the Fermi level is 1.0165 states/eV/atom.



# 2
A PBEsol-optimized structure of LaMgFeWO6. Source: the Alexandria database, functional meta-GGA SCAN.

```
LaMgFeWO6
1.0
5.338 0.000 0.000
0.000 5.564 0.000
0.061 0.000 7.681
La Mg O Fe W
2 2 12 2 2
direct
0.988 0.699 0.249
0.488 0.301 0.749
0.533 0.189 0.253
0.033 0.811 0.753
0.773 0.979 0.056
0.411 0.804 0.242
0.667 0.453 0.063
0.193 0.564 0.942
0.281 0.018 0.936
0.693 0.436 0.442
0.911 0.196 0.742
0.650 0.726 0.762
0.273 0.021 0.556
0.150 0.274 0.262
0.167 0.547 0.563
0.781 0.982 0.436
0.000 0.253 0.999
0.500 0.747 0.499
0.502 0.758 0.997
0.002 0.242 0.497
```

Values from the calculation:
The calculation puts the total DFT energy (no corrections) at -397.1 eV for the cell shown. As for the crystal system: monoclinic. The calculation puts the volume at 11.41 Å³/atom. The uncorrected formation energy comes out at -2528 meV per atom. The density of states at the Fermi level is 0.2723 states/eV/atom.